20
Lattice="-3.165 -0.522 4.459 0.300 -5.618 -0.445 6.439 -0.018 4.568" Properties=species:S:1:pos:R:3 comment="PBE TaAuO3, relaxed" e_tot_ev_per_atom=-7.6646 sg=Pnma pbc="T T T"
O 3.050 -0.372 5.932
O 2.742 -4.189 3.377
O -1.976 -1.961 3.213
O 5.615 -1.352 5.288
O 0.833 -1.969 5.205
O 1.557 -2.781 1.206
O -2.041 -4.806 3.294
O 2.807 -1.345 3.296
O 5.550 -4.197 5.369
O 0.768 -4.813 5.286
O 2.018 -3.377 7.376
O 0.524 -5.786 2.650
Au 0.187 -3.049 3.135
Au 3.387 -3.109 5.446
Au 1.677 -0.558 7.867
Au 1.898 -5.601 0.714
Ta 1.637 -0.270 4.513
Ta 3.370 -2.818 2.061
Ta -1.582 -0.261 2.230
Ta 0.150 -2.809 -0.223

---

24
Lattice="-7.580 -14.208 0.860 3.619 -1.978 -0.778 2.161 -0.471 11.257" Properties=species:S:1:pos:R:3 comment="PBE TmTlFeTe3, relaxed" de_polymorph_ev_per_atom=0.000 sg=Pnma pbc="T T T"
Te -2.217 -9.823 9.002
Te -2.834 -14.690 7.184
Te -3.315 -8.950 1.671
Te 0.417 -6.834 2.337
Te 1.515 -7.708 9.668
Te -0.865 -6.411 6.614
Te 1.492 -2.701 8.150
Te 2.097 -2.977 0.344
Te -3.897 -13.680 10.996
Te 1.034 -1.968 4.155
Te -0.935 -10.247 4.725
Te -3.292 -13.956 3.190
Fe -0.953 -8.162 10.660
Fe -3.879 -15.765 5.058
Fe -0.847 -8.495 0.679
Fe 2.079 -0.892 6.282
Tl -0.770 -12.420 11.018
Tl -3.850 -11.553 5.800
Tl 2.050 -5.105 5.539
Tl -1.030 -4.237 0.321
Tm 0.203 -9.172 7.287
Tm -2.003 -7.486 4.053
Tm 4.385 -2.153 8.895
Tm -6.185 -14.505 2.444

---

3
Lattice="-0.157 -1.435 5.022 -2.586 2.924 3.474 -4.463 -1.749 2.079" Properties=species:S:1:pos:R:3 comment="PBE AcHfAs, relaxed" de_polymorph_ev_per_atom=0.950 sg=F-43m pbc="T T T"
As -1.802 -0.065 2.644
Ac 0.000 0.000 0.000
Hf -5.405 -0.195 7.931

---

6
Lattice="-4.180 2.663 -2.047 0.522 -2.713 -4.596 -5.541 -6.316 3.100" Properties=species:S:1:pos:R:3 comment="PBE CsRbSm2Sb2, relaxed" e_tot_ev_per_atom=-3.8840 sg=P4mm pbc="T T T"
Sb -1.731 -1.973 0.968
Sb -5.630 -4.358 -1.195
Sm -2.497 -4.500 -0.755
Sm -4.848 -1.812 0.519
Cs -4.816 -5.490 2.694
Rb -2.589 -0.891 -2.896

---

24
Lattice="10.298 0.000 0.000 0.000 4.096 0.000 0.000 0.000 13.541" Properties=species:S:1:pos:R:3 comment="PBE BaLiDyS3, relaxed" de_polymorph_ev_per_atom=0.000 sg=Pnma pbc="T T T"
S 0.584 1.024 5.142
S 7.691 3.072 4.278
S 4.484 1.024 5.156
S 9.633 1.024 1.615
S 7.756 1.024 11.049
S 2.607 1.024 9.263
S 2.542 3.072 2.492
S 4.565 3.072 11.913
S 5.734 1.024 1.628
S 5.814 3.072 8.385
S 0.665 3.072 11.926
S 9.714 3.072 8.399
Li 7.686 1.024 2.993
Li 7.761 3.072 9.763
Li 2.612 3.072 10.548
Li 2.537 1.024 3.778
Dy 5.112 3.072 3.398
Dy 5.186 1.024 10.143
Dy 0.037 1.024 10.169
Dy 10.261 3.072 3.372
Ba 2.606 1.024 0.066
Ba 7.755 1.024 6.704
Ba 2.543 3.072 6.837
Ba 7.692 3.072 13.475

---

9
Lattice="6.136 0.000 0.000 0.000 6.136 0.000 0.000 0.000 6.136" Properties=species:S:1:pos:R:3 comment="PBE TbInAu3S4, relaxed" de_polymorph_ev_per_atom=0.026 sg=P-43m pbc="T T T"
Au 3.068 0.000 3.068
Au 0.000 3.068 3.068
Au 3.068 3.068 0.000
S 4.586 1.550 4.586
S 4.586 4.586 1.550
S 1.550 4.586 4.586
S 1.550 1.550 1.550
In 0.000 0.000 0.000
Tb 3.068 3.068 3.068